Crystalline Y2Er5 at its relaxed geometry. Source: the Alexandria database, functional GGA-PBE.

Computed properties:
Total magnetization: 0.00 μB/atom
Energy of formation: 1 meV/atom

Cell lengths 21.1935, 6.2404, 6.6493 Å; angles 90.00, 90.98, 90.00 degrees
Last column: nearest neighbours and their distance in Å.
Space group C2/c (No. 15)
Asymmetric unit:
Y1 0.0724 0.0839 0.1076 [8 per cell]  8 Er 3.48-3.62, 4 Y 3.49-3.63
Er1 0.0000 0.4178 0.7500 [4 per cell]  6 Er 3.48-3.60, 6 Y 3.50-3.62
Er2 0.1433 0.4168 0.4658 [8 per cell]  9 Er 3.45-3.61, 3 Y 3.48-3.60
Er3 0.2153 0.0835 0.8219 [8 per cell]  10 Er 3.45-3.61, 2 Y 3.49-3.60

Crystalline Pm2Y4ErTm2 at its relaxed geometry. Source: the Alexandria database, functional GGA-PBE.

Computed properties:
Total magnetization: 0.00 μB/atom
Energy of formation: 12 meV/atom

Cell lengths 18.6806, 3.5994, 9.5525 Å; angles 90.00, 115.82, 90.00 degrees
Last column: nearest neighbours and their distance in Å.
Space group C2/m (No. 12)
Asymmetric unit:
Pm1 0.1486 0.0000 0.1677 [4 per cell]  3 Tm 3.53-3.54, 7 Y 3.56-3.61, 2 Pm 3.60
Y1 0.0184 0.5000 0.8307 [4 per cell]  2 Er 3.52, 1 Tm 3.52, 4 Pm 3.56-3.61, 5 Y 3.59-3.60
Y2 0.1847 0.0000 0.8311 [4 per cell]  2 Tm 3.52, 1 Er 3.52, 3 Pm 3.56-3.59, 6 Y 3.57-3.60
Er1 0.0000 0.0000 0.5000 [2 per cell]  6 Y 3.52, 4 Tm 3.59, 2 Er 3.60
Tm1 0.1665 0.5000 0.5005 [4 per cell]  3 Y 3.52, 3 Pm 3.53-3.54, 2 Er 3.59, 4 Tm 3.60

Crystalline Fe3TcP at its relaxed geometry. Source: the Alexandria database, functional GGA-PBE.

Computed properties:
Polymorph energy (0 for the lowest one): 0.0 meV/atom
Total magnetization: 1.41 μB/atom
Energy of formation: 591 meV/atom

Cell lengths 4.1120, 4.1120, 4.1120 Å; angles 90.00, 90.00, 90.00 degrees
Last column: nearest neighbours and their distance in Å.
Space group Pm-3m (No. 221)
Asymmetric unit:
Fe1 0.0000 0.0000 0.5000 [3 per cell]  2 P 2.06
Tc1 0.5000 0.5000 0.5000 [1 per cell]  12 Fe 2.91
P1 0.0000 0.0000 0.0000 [1 per cell]  6 Fe 2.06

Crystalline CdHgSO4 at its relaxed geometry. Source: the Alexandria database, functional GGA-PBE.

Computed properties:
Energy relative to the elements, uncorrected: -1.02 eV/atom
Total magnetization: 0.00 μB/atom

Cell lengths 5.3569, 7.3629, 12.5510 Å; angles 90.00, 90.00, 90.00 degrees
Last column: nearest neighbours and their distance in Å.
Space group Imma (No. 74)
Asymmetric unit:
Cd1 0.0000 0.0000 0.0000 [4 per cell]  4 O 2.33
Hg1 0.2500 0.2500 0.2500 [4 per cell]  2 Hg 2.68
S1 0.0000 0.2500 0.5836 [4 per cell]  4 O 1.45-1.56
O1 0.0000 0.0809 0.6435 [8 per cell]  1 S 1.45
O2 0.2336 0.2500 0.5093 [8 per cell]  1 S 1.56

Crystalline Tl2SbPb at its relaxed geometry. Source: the Alexandria database, functional GGA-PBE.

Computed properties:
Energy relative to the elements, uncorrected: 0.02 eV/atom
Polymorph energy (0 for the lowest one): 27.7 meV/atom
Total magnetization: 0.00 μB/atom

Cell lengths 11.3115, 3.4136, 6.4497 Å; angles 90.00, 97.78, 90.00 degrees
Last column: nearest neighbours and their distance in Å.
Space group Cm (No. 8)
Asymmetric unit:
Tl1 0.0000 0.0000 0.0000 [2 per cell]  5 Tl 3.38-3.54, 3 Sb 3.47-3.53, 4 Pb 3.57-3.73
Tl2 0.2449 0.0000 0.7521 [2 per cell]  5 Tl 3.38-3.54, 3 Pb 3.50-3.55, 4 Sb 3.61-3.69
Sb1 0.2439 0.5000 0.2585 [2 per cell]  3 Pb 3.35-3.45, 2 Sb 3.41, 7 Tl 3.47-3.69
Pb1 0.4943 0.0000 0.4840 [2 per cell]  3 Sb 3.35-3.45, 2 Pb 3.41, 7 Tl 3.50-3.73

Crystalline MgIrPt2 at its relaxed geometry. Source: the Alexandria database, functional GGA-PBE.

Computed properties:
Total magnetization: 0.00 μB/atom
Energy of formation: -331 meV/atom

Cell lengths 3.9653, 3.9653, 7.8312 Å; angles 90.00, 90.00, 90.00 degrees
Last column: nearest neighbours and their distance in Å.
Space group I4/mmm (No. 139)
Asymmetric unit:
Mg1 0.0000 0.0000 0.0000 [2 per cell]  8 Pt 2.79, 4 Ir 2.80
Ir1 0.0000 0.0000 0.5000 [2 per cell]  8 Pt 2.79, 4 Mg 2.80
Pt1 0.0000 0.5000 0.2500 [4 per cell]  4 Mg 2.79, 4 Ir 2.79, 4 Pt 2.80